#i
# NbV3Fe, relaxed, DFT PBE
# * DOS at the Fermi energy: 1.127 states/eV per atom
# * total moment: 8.20 μB per cell
data_NbV3Fe
_chemical_formula_sum 'Nb4 V12 Fe4'
_cell_length_a 4.8337
_cell_length_b 13.6010
_cell_length_c 4.6520
_cell_angle_alpha 90.00
_cell_angle_beta 90.00
_cell_angle_gamma 90.00
_symmetry_space_group_name_H-M 'C m c m'
_symmetry_Int_Tables_number 63
_symmetry_space_group_name_Hall '-C 2c 2'
loop_
_atom_site_label
_atom_site_type_symbol
_atom_site_fract_x
_atom_site_fract_y
_atom_site_fract_z
Nb1 Nb 0.0000 0.1880 0.2500
V1 V 0.0000 0.0000 0.0000
V2 V 0.2443 0.3625 0.2500
Fe1 Fe 0.0000 0.4459 0.7500

#ii
# NbV3Fe, relaxed, DFT PBE
# * DOS at the Fermi energy: 1.598 states/eV per atom
# * total moment: 3.82 μB per cell
data_NbV3Fe
_chemical_formula_sum 'Nb1 V3 Fe1'
_cell_length_a 4.5421
_cell_length_b 4.5421
_cell_length_c 4.5421
_cell_angle_alpha 90.00
_cell_angle_beta 90.00
_cell_angle_gamma 90.00
_symmetry_space_group_name_H-M 'P m -3 m'
_symmetry_Int_Tables_number 221
_symmetry_space_group_name_Hall '-P 4 2 3'
loop_
_atom_site_label
_atom_site_type_symbol
_atom_site_fract_x
_atom_site_fract_y
_atom_site_fract_z
Nb1 Nb 0.0000 0.0000 0.0000
V1 V 0.0000 0.0000 0.5000
Fe1 Fe 0.5000 0.5000 0.5000

#i is preferred energetically. Next in line: 1172 meV per atom higher.

#i
# NbVFe, relaxed, DFT PBE
# * DOS at the Fermi energy: 1.211 states/eV per atom
# * total moment: 3.59 μB per cell
data_NbVFe
_chemical_formula_sum 'Nb4 V4 Fe4'
_cell_length_a 4.9303
_cell_length_b 5.0088
_cell_length_c 6.8436
_cell_angle_alpha 90.00
_cell_angle_beta 90.00
_cell_angle_gamma 90.00
_symmetry_space_group_name_H-M 'I m m a'
_symmetry_Int_Tables_number 74
_symmetry_space_group_name_Hall '-I 2b 2'
loop_
_atom_site_label
_atom_site_type_symbol
_atom_site_fract_x
_atom_site_fract_y
_atom_site_fract_z
Nb1 Nb 0.0000 0.2500 0.1270
V1 V 0.2500 0.2500 0.7500
Fe1 Fe 0.0000 0.0000 0.5000

#ii
# NbVFe, relaxed, DFT PBE
# * DOS at the Fermi energy: 1.157 states/eV per atom
# * total moment: 4.27 μB per cell
data_NbVFe
_chemical_formula_sum 'Nb2 V2 Fe2'
_cell_length_a 2.5997
_cell_length_b 2.5997
_cell_length_c 13.9237
_cell_angle_alpha 90.00
_cell_angle_beta 90.00
_cell_angle_gamma 90.00
_symmetry_space_group_name_H-M 'I 4 m m'
_symmetry_Int_Tables_number 107
_symmetry_space_group_name_Hall 'I 4 -2'
loop_
_atom_site_label
_atom_site_type_symbol
_atom_site_fract_x
_atom_site_fract_y
_atom_site_fract_z
Nb1 Nb 0.0000 0.0000 0.0000
V1 V 0.0000 0.0000 0.1871
Fe1 Fe 0.0000 0.0000 0.8219

#iii
# NbVFe, relaxed, DFT PBE
# * DOS at the Fermi energy: 1.409 states/eV per atom
# * total moment: 0.00 μB per cell
data_NbVFe
_chemical_formula_sum 'Nb3 V3 Fe3'
_cell_length_a 6.8179
_cell_length_b 6.8179
_cell_length_c 3.1922
_cell_angle_alpha 90.00
_cell_angle_beta 90.00
_cell_angle_gamma 120.00
_symmetry_space_group_name_H-M 'P -6 2 m'
_symmetry_Int_Tables_number 189
_symmetry_space_group_name_Hall 'P -6 -2'
loop_
_atom_site_label
_atom_site_type_symbol
_atom_site_fract_x
_atom_site_fract_y
_atom_site_fract_z
Nb1 Nb 0.0000 0.4190 0.0000
V1 V 0.0000 0.7528 0.5000
Fe1 Fe 0.0000 0.0000 0.0000
Fe2 Fe 0.3333 0.6667 0.5000

#iv
# NbVFe, relaxed, DFT PBE
# * DOS at the Fermi energy: 0.731 states/eV per atom
# * total moment: 4.25 μB per cell
data_NbVFe
_chemical_formula_sum 'Nb4 V4 Fe4'
_cell_length_a 4.2655
_cell_length_b 12.9634
_cell_length_c 3.0868
_cell_angle_alpha 90.00
_cell_angle_beta 90.00
_cell_angle_gamma 90.00
_symmetry_space_group_name_H-M 'C m c m'
_symmetry_Int_Tables_number 63
_symmetry_space_group_name_Hall '-C 2c 2'
loop_
_atom_site_label
_atom_site_type_symbol
_atom_site_fract_x
_atom_site_fract_y
_atom_site_fract_z
Nb1 Nb 0.0000 0.0861 0.2500
V1 V 0.0000 0.2539 0.7500
Fe1 Fe 0.0000 0.4132 0.2500

#i is preferred energetically. Next in line: 164 meV per atom higher.

#i
# Nb3VFe, relaxed, DFT PBE
# * DOS at the Fermi energy: 1.354 states/eV per atom
# * total moment: 3.15 μB per cell
data_Nb3VFe
_chemical_formula_sum 'Nb3 V1 Fe1'
_cell_length_a 4.6137
_cell_length_b 4.6137
_cell_length_c 4.6137
_cell_angle_alpha 90.00
_cell_angle_beta 90.00
_cell_angle_gamma 90.00
_symmetry_space_group_name_H-M 'P m -3 m'
_symmetry_Int_Tables_number 221
_symmetry_space_group_name_Hall '-P 4 2 3'
loop_
_atom_site_label
_atom_site_type_symbol
_atom_site_fract_x
_atom_site_fract_y
_atom_site_fract_z
Nb1 Nb 0.0000 0.0000 0.5000
V1 V 0.0000 0.0000 0.0000
Fe1 Fe 0.5000 0.5000 0.5000

#ii
# Nb3VFe, relaxed, DFT PBE
# * DOS at the Fermi energy: 1.369 states/eV per atom
# * total moment: 2.86 μB per cell
data_Nb3VFe
_chemical_formula_sum 'Nb3 V1 Fe1'
_cell_length_a 4.5886
_cell_length_b 4.5886
_cell_length_c 4.5886
_cell_angle_alpha 90.00
_cell_angle_beta 90.00
_cell_angle_gamma 90.00
_symmetry_space_group_name_H-M 'P m -3 m'
_symmetry_Int_Tables_number 221
_symmetry_space_group_name_Hall '-P 4 2 3'
loop_
_atom_site_label
_atom_site_type_symbol
_atom_site_fract_x
_atom_site_fract_y
_atom_site_fract_z
Nb1 Nb 0.0000 0.0000 0.5000
V1 V 0.5000 0.5000 0.5000
Fe1 Fe 0.0000 0.0000 0.0000

#ii is preferred energetically. Next in line: 352 meV per atom higher.

#i
# Nb2V2Fe, relaxed, DFT PBE
# * DOS at the Fermi energy: 1.020 states/eV per atom
# * total moment: 5.73 μB per cell
data_Nb2V2Fe
_chemical_formula_sum 'Nb4 V4 Fe2'
_cell_length_a 3.7024
_cell_length_b 3.7024
_cell_length_c 12.4130
_cell_angle_alpha 90.00
_cell_angle_beta 90.00
_cell_angle_gamma 90.00
_symmetry_space_group_name_H-M 'I 4/m m m'
_symmetry_Int_Tables_number 139
_symmetry_space_group_name_Hall '-I 4 2'
loop_
_atom_site_label
_atom_site_type_symbol
_atom_site_fract_x
_atom_site_fract_y
_atom_site_fract_z
Nb1 Nb 0.0000 0.5000 0.2500
V1 V 0.0000 0.0000 0.0767
Fe1 Fe 0.0000 0.0000 0.5000

#ii
# Nb2V2Fe, relaxed, DFT PBE
# * DOS at the Fermi energy: 1.090 states/eV per atom
# * total moment: 0.00 μB per cell
data_Nb2V2Fe
_chemical_formula_sum 'Nb4 V4 Fe2'
_cell_length_a 6.0280
_cell_length_b 6.0280
_cell_length_c 4.2191
_cell_angle_alpha 90.00
_cell_angle_beta 90.00
_cell_angle_gamma 90.00
_symmetry_space_group_name_H-M 'P 4/m b m'
_symmetry_Int_Tables_number 127
_symmetry_space_group_name_Hall '-P 4 2ab'
loop_
_atom_site_label
_atom_site_type_symbol
_atom_site_fract_x
_atom_site_fract_y
_atom_site_fract_z
Nb1 Nb 0.1743 0.3257 0.0000
V1 V 0.1488 0.6488 0.5000
Fe1 Fe 0.0000 0.0000 0.5000

#ii is preferred energetically. Next in line: 625 meV per atom higher.

#i
# YNb2Fe, relaxed, DFT PBE
# * DOS at the Fermi energy: 1.739 states/eV per atom
# * total moment: 0.00 μB per cell
data_YNb2Fe
_chemical_formula_sum 'Y4 Nb8 Fe4'
_cell_length_a 3.8833
_cell_length_b 3.8833
_cell_length_c 20.7570
_cell_angle_alpha 90.00
_cell_angle_beta 90.00
_cell_angle_gamma 90.00
_symmetry_space_group_name_H-M 'I -4 2 d'
_symmetry_Int_Tables_number 122
_symmetry_space_group_name_Hall 'I -4 2bw'
loop_
_atom_site_label
_atom_site_type_symbol
_atom_site_fract_x
_atom_site_fract_y
_atom_site_fract_z
Y1 Y 0.0000 0.0000 0.0000
Nb1 Nb 0.2357 0.2500 0.6250
Fe1 Fe 0.0000 0.0000 0.5000

#ii
# YNb2Fe, relaxed, DFT PBE
# * DOS at the Fermi energy: 1.304 states/eV per atom
# * total moment: 0.03 μB per cell
data_YNb2Fe
_chemical_formula_sum 'Y4 Nb8 Fe4'
_cell_length_a 6.5671
_cell_length_b 6.5671
_cell_length_c 6.5671
_cell_angle_alpha 90.00
_cell_angle_beta 90.00
_cell_angle_gamma 90.00
_symmetry_space_group_name_H-M 'F m -3 m'
_symmetry_Int_Tables_number 225
_symmetry_space_group_name_Hall '-F 4 2 3'
loop_
_atom_site_label
_atom_site_type_symbol
_atom_site_fract_x
_atom_site_fract_y
_atom_site_fract_z
Y1 Y 0.0000 0.0000 0.0000
Nb1 Nb 0.2500 0.2500 0.2500
Fe1 Fe 0.0000 0.0000 0.5000

#ii is preferred energetically. Next in line: 235 meV per atom higher.